First-principles (PBE-GGA) data for crystalline Sr2RhCI at its relaxed geometry, as listed in Alexandria via LeMat-Bulk.

Lattice parameters (Å, degrees): 5.6842 5.6842 3.9298 90.00 90.00 90.00
Atoms (fractional coordinates):
Sr 0.0000 0.5000 0.0000
Sr 0.5000 0.0000 0.0000
Rh 0.0000 0.0000 0.5000
C 0.0000 0.0000 0.0000
I 0.5000 0.5000 0.5000

Calculated values
- uncorrected formation energy (eV per atom) = -0.50


First-principles (PBE-GGA) data for crystalline Ba6In2HgO at its relaxed geometry, as listed in Alexandria via LeMat-Bulk.

Lattice parameters (Å, degrees): 8.3322 11.7865 8.9748 90.00 90.00 90.00
Atoms (fractional coordinates):
Ba 0.0008 0.2500 0.0807
Ba 0.0235 0.7500 0.4793
Ba 0.2500 0.5207 0.7096
Ba 0.2500 0.9793 0.7096
Ba 0.4765 0.7500 0.4793
Ba 0.4992 0.2500 0.0807
Ba 0.5008 0.7500 0.9193
Ba 0.5235 0.2500 0.5207
Ba 0.7500 0.0207 0.2904
Ba 0.7500 0.4793 0.2904
Ba 0.9765 0.2500 0.5207
Ba 0.9992 0.7500 0.9193
In 0.2500 0.0335 0.3049
In 0.2500 0.4665 0.3049
In 0.7500 0.5335 0.6951
In 0.7500 0.9665 0.6951
Hg 0.2500 0.2500 0.7942
Hg 0.7500 0.7500 0.2058
O 0.2500 0.7500 0.7275
O 0.7500 0.2500 0.2725

Calculated values
- uncorrected formation energy (eV per atom) = -0.58


First-principles (PBE-GGA) data for crystalline CrSeBr2 at its relaxed geometry, as listed in Alexandria via LeMat-Bulk.

Lattice parameters (Å, degrees): 9.7350 9.7350 9.7350 21.13 21.13 21.13
Atoms (fractional coordinates):
Cr 0.0000 0.0000 0.0000
Se 0.2870 0.2870 0.2870
Br 0.5153 0.5153 0.5153
Br 0.7236 0.7236 0.7236

Calculated values
- uncorrected formation energy (eV per atom) = -0.33
- offset from the most stable computed form (meV per atom) = 85.7


First-principles (PBE-GGA) data for crystalline Ce5Ga2Os at its relaxed geometry, as listed in Alexandria via LeMat-Bulk.

Lattice parameters (Å, degrees): 7.5829 11.6492 4.6224 90.00 90.00 90.00
Atoms (fractional coordinates):
Ce 0.0000 0.0000 0.0000
Ce 0.1434 0.2871 0.0000
Ce 0.2010 0.5662 0.5000
Ce 0.2990 0.0662 0.5000
Ce 0.3566 0.7871 0.0000
Ce 0.5000 0.5000 0.0000
Ce 0.6434 0.2129 0.0000
Ce 0.7010 0.9338 0.5000
Ce 0.7990 0.4338 0.5000
Ce 0.8566 0.7129 0.0000
Ga 0.0816 0.8284 0.5000
Ga 0.4184 0.3284 0.5000
Ga 0.5816 0.6716 0.5000
Ga 0.9184 0.1716 0.5000
Os 0.0000 0.5000 0.0000
Os 0.5000 0.0000 0.0000

Calculated values
- ΔH_f (0 K) (eV per formula unit) = -2.61
- offset from the most stable computed form (meV per atom) = 0.0


First-principles (PBE-GGA) data for crystalline Y2HgBr at its relaxed geometry, as listed in Alexandria via LeMat-Bulk.

Lattice parameters (Å, degrees): 3.6444 3.8155 8.2501 90.00 90.00 90.00
Atoms (fractional coordinates):
Y 0.0000 0.0000 0.2140
Y 0.0000 0.0000 0.7860
Hg 0.5000 0.5000 0.0000
Br 0.5000 0.0000 0.5000

Calculated values
- uncorrected formation energy (eV per atom) = -0.71
- offset from the most stable computed form (meV per atom) = 11.5


First-principles (PBE-GGA) data for crystalline RbMnBe2 at its relaxed geometry, as listed in Alexandria via LeMat-Bulk.

Lattice parameters (Å, degrees): 8.8760 8.8760 8.8760 148.82 148.82 44.68
Atoms (fractional coordinates):
Rb 0.3750 0.6250 0.7500
Rb 0.6250 0.3750 0.2500
Mn 0.1250 0.8750 0.2500
Mn 0.8750 0.1250 0.7500
Be 0.0000 0.0000 0.0000
Be 0.0000 0.0000 0.5000
Be 0.0000 0.5000 0.0000
Be 0.5000 0.0000 0.5000

Calculated values
- ΔH_f (0 K) (eV per formula unit) = 4.12